## YTa2Ru (PBE-GGA)

Data for a relaxed YTa2Ru crystal.

Calculated values
The energy above the most stable polymorph in this dataset is 1.289 eV/f.u. The formation energy from the elements is 0.2717 eV/atom. Its volume is 19.60 Å³/atom.

Cell lengths 9.6511, 9.6511, 9.6511 Å; angles 18.42, 18.42, 18.42 degrees
Closest atoms and distances in Å follow each position.
Fractional coordinates of all 4 atoms:
Y 0.0000 0.0000 0.0000  6 Y 3.09, 6 Ta 3.24
Ta 0.2381 0.2381 0.2381  3 Ru 2.70
Ta 0.7619 0.7619 0.7619  3 Ru 2.70
Ru 0.5000 0.5000 0.5000  6 Ta 2.70

=====

## YTa2Ru (PBE-GGA)

Data for a relaxed YTa2Ru crystal.

Calculated values
The energy above the most stable polymorph in this dataset is 1.108 eV/f.u. The formation energy from the elements is 0.2264 eV/atom. Its volume is 18.81 Å³/atom.

Cell lengths 5.5704, 5.5704, 2.9942 Å; angles 99.39, 99.39, 120.88 degrees
Closest atoms and distances in Å follow each position.
Fractional coordinates of all 4 atoms:
Y 0.0000 0.0000 0.0000  2 Ru 2.75, 4 Ta 2.94, 2 Y 2.99
Ta 0.0000 0.5000 0.5000  4 Ta 2.75-2.99, 2 Ru 2.94, 2 Y 2.94
Ta 0.5000 0.0000 0.5000  4 Ta 2.75-2.99, 2 Ru 2.94, 2 Y 2.94
Ru 0.5000 0.5000 0.0000  2 Y 2.75, 4 Ta 2.94, 2 Ru 2.99

=====

## YTa3Ru (PBE-GGA)

Data for a relaxed YTa3Ru crystal.

Calculated values
The energy above the most stable polymorph in this dataset is 9.588 eV/f.u. The formation energy from the elements is 2.6695 eV/atom. Its volume is 22.24 Å³/atom.

Cell lengths 4.8089, 4.8089, 4.8089 Å; angles 90.00, 90.00, 90.00 degrees
Closest atoms and distances in Å follow each position.
Fractional coordinates of all 5 atoms:
Y 0.0000 0.0000 0.0000  6 Ta 2.40
Ta 0.0000 0.0000 0.5000  2 Y 2.40
Ta 0.0000 0.5000 0.0000  2 Y 2.40
Ta 0.5000 0.0000 0.0000  2 Y 2.40
Ru 0.5000 0.5000 0.5000  12 Ta 3.40

=====

## YTa4Ru (PBE-GGA)

Data for a relaxed YTa4Ru crystal.

Calculated values
The formation energy from the elements is 0.2876 eV/atom. Its volume is 19.82 Å³/atom.

Cell lengths 5.5201, 5.5201, 5.5201 Å; angles 60.00, 60.00, 60.00 degrees
Closest atoms and distances in Å follow each position.
Fractional coordinates of all 6 atoms:
Y 0.0000 0.0000 0.0000  12 Ta 3.24, 4 Ru 3.38
Ta 0.3747 0.3747 0.3747  6 Ta 2.75-2.77
Ta 0.3747 0.3747 0.8760  6 Ta 2.75-2.77
Ta 0.3747 0.8760 0.3747  6 Ta 2.75-2.77
Ta 0.8760 0.3747 0.3747  6 Ta 2.75-2.77
Ru 0.7500 0.7500 0.7500  12 Ta 3.24, 4 Y 3.38

=====

## Y4TaRu (PBE-GGA)

Data for a relaxed Y4TaRu crystal.

Calculated values
The formation energy from the elements is 1.0305 eV/atom. Its volume is 25.12 Å³/atom.

Cell lengths 5.9737, 5.9737, 5.9737 Å; angles 60.00, 60.00, 60.00 degrees
Closest atoms and distances in Å follow each position.
Fractional coordinates of all 6 atoms:
Y 0.1250 0.1250 0.1250  6 Y 2.99
Y 0.1250 0.1250 0.6249  6 Y 2.99
Y 0.1250 0.6249 0.1250  6 Y 2.99
Y 0.6249 0.1250 0.1250  6 Y 2.99
Ta 0.5000 0.5000 0.5000  12 Y 3.50, 4 Ru 3.66
Ru 0.7500 0.7500 0.7500  12 Y 3.50, 4 Ta 3.66

=====

## YTaRu2 (PBE-GGA)

Data for a relaxed YTaRu2 crystal.

Calculated values
The formation energy from the elements is 0.1178 eV/atom. Its volume is 18.25 Å³/atom.

Cell lengths 4.5705, 3.1487, 5.4985 Å; angles 90.00, 112.69, 90.00 degrees
Closest atoms and distances in Å follow each position.
Fractional coordinates of all 4 atoms:
Y 0.0000 0.0000 0.0000  6 Ru 2.75-2.78
Ta 0.5000 0.5000 0.5000  6 Ru 2.75-2.78
Ru 0.0000 0.0000 0.5000  2 Y 2.75, 4 Ta 2.78
Ru 0.5000 0.5000 0.0000  2 Ta 2.75, 4 Y 2.78

=====

## YTaRu2 (PBE-GGA)

Data for a relaxed YTaRu2 crystal.

Calculated values
The formation energy from the elements is -0.4214 eV/atom. Its volume is 17.87 Å³/atom.

Cell lengths 3.2150, 3.2150, 6.9170 Å; angles 90.00, 90.00, 90.00 degrees
Closest atoms and distances in Å follow each position.
Fractional coordinates of all 4 atoms:
Y 0.0000 0.0000 0.0000  8 Ru 3.00, 4 Y 3.22
Ta 0.0000 0.0000 0.5000  8 Ru 2.73
Ru 0.5000 0.5000 0.2824  4 Ta 2.73, 4 Y 3.00, 1 Ru 3.01
Ru 0.5000 0.5000 0.7176  4 Ta 2.73, 4 Y 3.00, 1 Ru 3.01

=====

## YTaRu2 (PBE-GGA)

Data for a relaxed YTaRu2 crystal.

Calculated values
The formation energy from the elements is 0.1098 eV/atom. Its volume is 19.41 Å³/atom.

Cell lengths 3.5655, 3.5655, 6.1076 Å; angles 90.00, 90.00, 90.00 degrees
Closest atoms and distances in Å follow each position.
Fractional coordinates of all 4 atoms:
Y 0.0000 0.0000 0.0000  6 Ru 2.83-3.09
Ta 0.5000 0.5000 0.6148  5 Ru 2.46-2.61
Ru 0.0000 0.0000 0.5067  4 Ta 2.61
Ru 0.5000 0.5000 0.2115  1 Ta 2.46

=====

## YTa2Ru2 (PBE-GGA)

Data for a relaxed YTa2Ru2 crystal.

Calculated values
The energy above the most stable polymorph in this dataset is 0.883 eV/f.u. The formation energy from the elements is -0.1197 eV/atom. Its volume is 18.57 Å³/atom.

Cell lengths 7.7937, 7.7937, 3.0577 Å; angles 90.00, 90.00, 90.00 degrees
Closest atoms and distances in Å follow each position.
Fractional coordinates of all 10 atoms:
Y 0.0000 0.0000 0.0000  4 Ru 3.02, 2 Y 3.06, 8 Ta 3.34
Y 0.5000 0.5000 0.0000  4 Ru 3.02, 2 Y 3.06, 8 Ta 3.34
Ta 0.1500 0.3500 0.5000  6 Ru 2.72-2.79
Ta 0.3500 0.8500 0.5000  6 Ru 2.72-2.79
Ta 0.6500 0.1500 0.5000  6 Ru 2.72-2.79
Ta 0.8500 0.6500 0.5000  6 Ru 2.72-2.79
Ru 0.1378 0.6378 0.0000  6 Ta 2.72-2.79, 2 Y 3.02, 1 Ru 3.04
Ru 0.3622 0.1378 0.0000  6 Ta 2.72-2.79, 2 Y 3.02, 1 Ru 3.04
Ru 0.6378 0.8622 0.0000  6 Ta 2.72-2.79, 2 Y 3.02, 1 Ru 3.04
Ru 0.8622 0.3622 0.0000  6 Ta 2.72-2.79, 2 Y 3.02, 1 Ru 3.04

=====

## YTa2Ru (PBE-GGA)

Data for a relaxed YTa2Ru crystal.

Calculated values
The energy above the most stable polymorph in this dataset is 0.000 eV/f.u. The formation energy from the elements is -0.0506 eV/atom. Its volume is 19.62 Å³/atom.

Cell lengths 3.1819, 3.1819, 7.7503 Å; angles 90.00, 90.00, 90.00 degrees
Closest atoms and distances in Å follow each position.
Fractional coordinates of all 4 atoms:
Y 0.0000 0.0000 0.0000  4 Ru 3.07, 4 Y 3.18, 4 Ta 3.27
Ta 0.0000 0.0000 0.4528  4 Ru 2.66, 4 Ta 2.93
Ta 0.5000 0.5000 0.6946  8 Ta 2.93-3.18, 4 Y 3.27
Ru 0.5000 0.5000 0.2692  4 Ta 2.66

=====

## YTaRu4 (PBE-GGA)

Data for a relaxed YTaRu4 crystal.

Calculated values
The formation energy from the elements is -0.1008 eV/atom. Its volume is 16.76 Å³/atom.

Cell lengths 5.2202, 5.2202, 5.2202 Å; angles 60.00, 60.00, 60.00 degrees
Closest atoms and distances in Å follow each position.
Fractional coordinates of all 6 atoms:
Y 0.0000 0.0000 0.0000  12 Ru 3.06, 4 Ta 3.20
Ta 0.7500 0.7500 0.7500  12 Ru 3.06, 4 Y 3.20
Ru 0.3752 0.3752 0.3752  6 Ru 2.61
Ru 0.3752 0.3752 0.8745  6 Ru 2.61
Ru 0.3752 0.8745 0.3752  6 Ru 2.61
Ru 0.8745 0.3752 0.3752  6 Ru 2.61

=====

## YTaRu2 (PBE-GGA)

Data for a relaxed YTaRu2 crystal.

Calculated values
The formation energy from the elements is -0.3106 eV/atom. Its volume is 17.59 Å³/atom.

Cell lengths 4.6569, 4.6569, 3.2439 Å; angles 90.00, 90.00, 90.00 degrees
Closest atoms and distances in Å follow each position.
Fractional coordinates of all 4 atoms:
Y 0.0000 0.0000 0.0000  8 Ru 2.84
Ta 0.5000 0.5000 0.0000  8 Ru 2.84
Ru 0.0000 0.5000 0.5000  4 Ta 2.84, 4 Y 2.84
Ru 0.5000 0.0000 0.5000  4 Ta 2.84, 4 Y 2.84

=====

It is found that the size of the total moment values, taken in the order of the records, are 0.00, 0.00, 0.00, 0.00, 1.04, 0.00, 0.00, 0.00, 0.01, 0.00, 0.00, 0.00 μB per formula unit.